AgAuSe: optimized geometry, PBEsol.

Geometry as CIF:
```
data_AgAuSe
_space_group_name_H-M_alt 'P 1'
_space_group_IT_number 1
_cell_length_a 2.959
_cell_length_b 2.959
_cell_length_c 7.053
_cell_angle_alpha 90.00
_cell_angle_beta 90.00
_cell_angle_gamma 120.00
loop_
_space_group_symop_operation_xyz
'x,y,z'
loop_
_atom_site_label
_atom_site_type_symbol
_atom_site_fract_x
_atom_site_fract_y
_atom_site_fract_z
_atom_site_occupancy
Ag1 Ag 0.000 0.000 0.000 1
Au1 Au 0.333 0.667 0.678 1
Se1 Se 0.667 0.333 0.323 1
```

* volume: 17.83 Å³/atom
* formation energy from raw total energies: 0.5 eV/f.u.

La3Ga4Cl: optimized geometry, PBEsol.

Geometry as CIF:
```
data_La3Ga4Cl
_space_group_name_H-M_alt 'P 1'
_space_group_IT_number 1
_cell_length_a 8.013
_cell_length_b 8.013
_cell_length_c 8.013
_cell_angle_alpha 119.39
_cell_angle_beta 119.39
_cell_angle_gamma 91.06
loop_
_space_group_symop_operation_xyz
'x,y,z'
loop_
_atom_site_label
_atom_site_type_symbol
_atom_site_fract_x
_atom_site_fract_y
_atom_site_fract_z
_atom_site_occupancy
La1 La 0.161 0.661 0.821 1
La2 La 0.250 0.250 0.000 1
La3 La 0.339 0.161 0.500 1
La4 La 0.661 0.839 0.500 1
La5 La 0.750 0.750 0.000 1
La6 La 0.839 0.339 0.179 1
Ga1 Ga 0.055 0.842 0.500 1
Ga2 Ga 0.158 0.658 0.214 1
Ga3 Ga 0.342 0.555 0.500 1
Ga4 Ga 0.445 0.945 0.786 1
Ga5 Ga 0.555 0.055 0.214 1
Ga6 Ga 0.658 0.445 0.500 1
Ga7 Ga 0.842 0.342 0.786 1
Ga8 Ga 0.945 0.158 0.500 1
Cl1 Cl 0.000 0.000 0.000 1
Cl2 Cl 0.500 0.500 0.000 1
```

* volume: 22.95 Å³/atom
* formation energy from raw total energies: -8.3 eV/f.u.

SbMo2P: optimized geometry, PBEsol.

Geometry as CIF:
```
data_SbMo2P
_space_group_name_H-M_alt 'P 1'
_space_group_IT_number 1
_cell_length_a 4.659
_cell_length_b 4.659
_cell_length_c 4.945
_cell_angle_alpha 105.88
_cell_angle_beta 105.88
_cell_angle_gamma 40.46
loop_
_space_group_symop_operation_xyz
'x,y,z'
loop_
_atom_site_label
_atom_site_type_symbol
_atom_site_fract_x
_atom_site_fract_y
_atom_site_fract_z
_atom_site_occupancy
Sb1 Sb 0.000 0.000 0.000 1
Mo1 Mo 0.523 0.523 0.549 1
Mo2 Mo 0.758 0.758 0.227 1
P1 P 0.246 0.246 0.583 1
```

* volume: 16.66 Å³/atom
* formation energy from raw total energies: -0.4 eV/f.u.

Cu10Hg2Sb4S13: optimized geometry, PBEsol.

Geometry as CIF:
```
data_Cu10Hg2Sb4S13
_space_group_name_H-M_alt 'P 1'
_space_group_IT_number 1
_cell_length_a 8.984
_cell_length_b 8.984
_cell_length_c 8.984
_cell_angle_alpha 110.46
_cell_angle_beta 110.46
_cell_angle_gamma 107.50
loop_
_space_group_symop_operation_xyz
'x,y,z'
loop_
_atom_site_label
_atom_site_type_symbol
_atom_site_fract_x
_atom_site_fract_y
_atom_site_fract_z
_atom_site_occupancy
Cu1 Cu 0.000 0.221 0.221 1
Cu2 Cu 0.000 0.779 0.779 1
Cu3 Cu 0.221 0.000 0.221 1
Cu4 Cu 0.232 0.500 0.732 1
Cu5 Cu 0.250 0.750 0.500 1
Cu6 Cu 0.500 0.232 0.732 1
Cu7 Cu 0.500 0.768 0.268 1
Cu8 Cu 0.750 0.250 0.500 1
Cu9 Cu 0.768 0.500 0.268 1
Cu10 Cu 0.779 0.000 0.779 1
Hg1 Hg 0.241 0.241 0.000 1
Hg2 Hg 0.759 0.759 0.000 1
Sb1 Sb 0.015 0.461 0.000 1
Sb2 Sb 0.461 0.015 0.000 1
Sb3 Sb 0.539 0.539 0.553 1
Sb4 Sb 0.985 0.985 0.447 1
S1 S 0.000 0.000 0.000 1
S2 S 0.010 0.756 0.529 1
S3 S 0.227 0.481 0.471 1
S4 S 0.244 0.773 0.254 1
S5 S 0.257 0.257 0.734 1
S6 S 0.477 0.743 0.000 1
S7 S 0.481 0.227 0.471 1
S8 S 0.519 0.990 0.746 1
S9 S 0.523 0.523 0.266 1
S10 S 0.743 0.477 0.000 1
S11 S 0.756 0.010 0.529 1
S12 S 0.773 0.244 0.254 1
S13 S 0.990 0.519 0.746 1
```

* volume: 19.23 Å³/atom
* formation energy from raw total energies: -6.4 eV/f.u.

CaTaNO2: optimized geometry, PBEsol.

Geometry as CIF:
```
data_CaTaNO2
_space_group_name_H-M_alt 'P 1'
_space_group_IT_number 1
_cell_length_a 5.514
_cell_length_b 5.634
_cell_length_c 9.529
_cell_angle_alpha 90.00
_cell_angle_beta 125.04
_cell_angle_gamma 90.00
loop_
_space_group_symop_operation_xyz
'x,y,z'
loop_
_atom_site_label
_atom_site_type_symbol
_atom_site_fract_x
_atom_site_fract_y
_atom_site_fract_z
_atom_site_occupancy
Ca1 Ca 0.232 0.043 0.246 1
Ca2 Ca 0.232 0.457 0.746 1
Ca3 Ca 0.768 0.543 0.254 1
Ca4 Ca 0.768 0.957 0.754 1
Ta1 Ta 0.000 0.000 0.500 1
Ta2 Ta 0.000 0.500 0.000 1
Ta3 Ta 0.500 0.000 0.000 1
Ta4 Ta 0.500 0.500 0.500 1
N1 N 0.168 0.215 0.954 1
N2 N 0.168 0.285 0.454 1
N3 N 0.832 0.715 0.546 1
N4 N 0.832 0.785 0.046 1
O1 O 0.236 0.714 0.949 1
O2 O 0.236 0.786 0.449 1
O3 O 0.342 0.023 0.750 1
O4 O 0.342 0.477 0.250 1
O5 O 0.658 0.523 0.750 1
O6 O 0.658 0.977 0.250 1
O7 O 0.764 0.214 0.551 1
O8 O 0.764 0.286 0.051 1
```

* volume: 12.12 Å³/atom
* formation energy from raw total energies: -12.2 eV/f.u.

Be2InMo: optimized geometry, PBEsol.

Geometry as CIF:
```
data_Be2InMo
_space_group_name_H-M_alt 'P 1'
_space_group_IT_number 1
_cell_length_a 3.892
_cell_length_b 3.892
_cell_length_c 3.443
_cell_angle_alpha 90.00
_cell_angle_beta 90.00
_cell_angle_gamma 90.00
loop_
_space_group_symop_operation_xyz
'x,y,z'
loop_
_atom_site_label
_atom_site_type_symbol
_atom_site_fract_x
_atom_site_fract_y
_atom_site_fract_z
_atom_site_occupancy
Be1 Be 0.000 0.500 0.000 1
Be2 Be 0.500 0.000 0.000 1
In1 In 0.000 0.000 0.500 1
Mo1 Mo 0.500 0.500 0.500 1
```

* energy of formation: 0.200 eV per atom
* volume: 13.04 Å³/atom

LiCr4Mo: optimized geometry, PBEsol.

Geometry as CIF:
```
data_LiCr4Mo
_space_group_name_H-M_alt 'P 1'
_space_group_IT_number 1
_cell_length_a 4.713
_cell_length_b 4.713
_cell_length_c 4.713
_cell_angle_alpha 60.00
_cell_angle_beta 60.00
_cell_angle_gamma 60.00
loop_
_space_group_symop_operation_xyz
'x,y,z'
loop_
_atom_site_label
_atom_site_type_symbol
_atom_site_fract_x
_atom_site_fract_y
_atom_site_fract_z
_atom_site_occupancy
Li1 Li 0.000 0.000 0.000 1
Cr1 Cr 0.374 0.374 0.374 1
Cr2 Cr 0.374 0.374 0.879 1
Cr3 Cr 0.374 0.879 0.374 1
Cr4 Cr 0.879 0.374 0.374 1
Mo1 Mo 0.750 0.750 0.750 1
```

* energy of formation: 0.318 eV per atom
* volume: 12.34 Å³/atom

CaAgSe2: optimized geometry, PBEsol.

Geometry as CIF:
```
data_CaAgSe2
_space_group_name_H-M_alt 'P 1'
_space_group_IT_number 1
_cell_length_a 4.000
_cell_length_b 4.000
_cell_length_c 5.637
_cell_angle_alpha 90.00
_cell_angle_beta 90.00
_cell_angle_gamma 90.00
loop_
_space_group_symop_operation_xyz
'x,y,z'
loop_
_atom_site_label
_atom_site_type_symbol
_atom_site_fract_x
_atom_site_fract_y
_atom_site_fract_z
_atom_site_occupancy
Ca1 Ca 0.000 0.000 0.000 1
Ag1 Ag 0.500 0.500 0.500 1
Se1 Se 0.000 0.000 0.500 1
Se2 Se 0.500 0.500 0.000 1
```

* volume: 22.54 Å³/atom
* formation energy from raw total energies: -3.8 eV/f.u.

BaMg: optimized geometry, PBEsol.

Geometry as CIF:
```
data_BaMg
_space_group_name_H-M_alt 'P 1'
_space_group_IT_number 1
_cell_length_a 5.822
_cell_length_b 5.822
_cell_length_c 5.822
_cell_angle_alpha 60.00
_cell_angle_beta 60.00
_cell_angle_gamma 60.00
loop_
_space_group_symop_operation_xyz
'x,y,z'
loop_
_atom_site_label
_atom_site_type_symbol
_atom_site_fract_x
_atom_site_fract_y
_atom_site_fract_z
_atom_site_occupancy
Ba1 Ba 0.125 0.125 0.125 1
Ba2 Ba 0.875 0.875 0.875 1
Mg1 Mg 0.375 0.375 0.375 1
Mg2 Mg 0.625 0.625 0.625 1
```

* energy of formation: -0.029 eV per atom
* volume: 34.89 Å³/atom

NbGe2PBr: optimized geometry, PBEsol.

Geometry as CIF:
```
data_NbGe2PBr
_space_group_name_H-M_alt 'P 1'
_space_group_IT_number 1
_cell_length_a 5.101
_cell_length_b 5.101
_cell_length_c 4.807
_cell_angle_alpha 90.00
_cell_angle_beta 90.00
_cell_angle_gamma 90.00
loop_
_space_group_symop_operation_xyz
'x,y,z'
loop_
_atom_site_label
_atom_site_type_symbol
_atom_site_fract_x
_atom_site_fract_y
_atom_site_fract_z
_atom_site_occupancy
Nb1 Nb 0.000 0.000 0.000 1
Ge1 Ge 0.000 0.500 0.000 1
Ge2 Ge 0.500 0.000 0.000 1
P1 P 0.500 0.500 0.500 1
Br1 Br 0.000 0.000 0.500 1
```

* volume: 25.02 Å³/atom
* formation energy from raw total energies: 4.1 eV/f.u.

BaBeSbI2: optimized geometry, PBEsol.

Geometry as CIF:
```
data_BaBeSbI2
_space_group_name_H-M_alt 'P 1'
_space_group_IT_number 1
_cell_length_a 6.542
_cell_length_b 6.542
_cell_length_c 6.967
_cell_angle_alpha 90.00
_cell_angle_beta 90.00
_cell_angle_gamma 90.00
loop_
_space_group_symop_operation_xyz
'x,y,z'
loop_
_atom_site_label
_atom_site_type_symbol
_atom_site_fract_x
_atom_site_fract_y
_atom_site_fract_z
_atom_site_occupancy
Ba1 Ba 0.000 0.000 0.000 1
Be1 Be 0.500 0.500 0.500 1
Sb1 Sb 0.000 0.000 0.500 1
I1 I 0.000 0.500 0.000 1
I2 I 0.500 0.000 0.000 1
```

* volume: 59.63 Å³/atom
* formation energy from raw total energies: 2.4 eV/f.u.

Na2SiAgO: optimized geometry, PBEsol.

Geometry as CIF:
```
data_Na2SiAgO
_space_group_name_H-M_alt 'P 1'
_space_group_IT_number 1
_cell_length_a 5.556
_cell_length_b 5.556
_cell_length_c 4.548
_cell_angle_alpha 90.00
_cell_angle_beta 90.00
_cell_angle_gamma 90.00
loop_
_space_group_symop_operation_xyz
'x,y,z'
loop_
_atom_site_label
_atom_site_type_symbol
_atom_site_fract_x
_atom_site_fract_y
_atom_site_fract_z
_atom_site_occupancy
Na1 Na 0.000 0.500 0.000 1
Na2 Na 0.500 0.000 0.000 1
Si1 Si 0.000 0.000 0.000 1
Ag1 Ag 0.000 0.000 0.500 1
O1 O 0.500 0.500 0.500 1
```

* volume: 28.08 Å³/atom
* formation energy from raw total energies: 3.0 eV/f.u.

> Among the records above, which one has the highest volume?

BaBeSbI2